# 1
VASP calculation (PBE) on a geometry-optimized OsAuCl2 structure.

Output
Energy relative to the elements, uncorrected   0.2345 eV/atom
Space-group type   C2/m, No. 12

The structure in POSCAR format:
```
OsAuCl2
1.0
7.015 -1.442 0.000
7.015 1.442 0.000
-1.704 0.000 4.596
Os Au Cl
1 1 2
Cartesian
0.000 0.000 0.000 Os
6.163 0.000 2.298 Au
3.509 0.000 3.926 Cl
8.818 0.000 0.670 Cl
```

# 2
VASP calculation (PBE) on a geometry-optimized TbIn4Br7 structure.

Output
Energy relative to the elements, uncorrected   -1.0397 eV/atom
Space-group type   C2/m, No. 12

The structure in POSCAR format:
```
TbIn4Br7
1.0
10.871 -2.762 0.000
10.871 2.762 0.000
-2.401 0.000 7.522
Tb In Br
1 4 7
Cartesian
0.000 0.000 0.000 Tb
4.892 0.000 5.601 In
8.194 0.000 2.763 In
11.146 0.000 4.759 In
14.448 0.000 1.921 In
0.937 0.000 2.647 Br
0.283 0.000 6.652 Br
5.226 0.000 2.533 Br
10.871 0.000 0.000 Br
14.115 0.000 4.989 Br
19.058 0.000 0.870 Br
18.404 0.000 4.874 Br
```

# 3
VASP calculation (PBE) on a geometry-optimized ErThAgPb structure.

Output
Space-group type   F-43m, No. 216
Formation energy from the elements   -216 meV/atom

The structure in POSCAR format:
```
ErThAgPb
1.0
0.000 3.782 3.782
3.782 0.000 3.782
3.782 3.782 0.000
Er Th Ag Pb
1 1 1 1
Cartesian
0.000 0.000 0.000 Er
3.782 3.782 3.782 Th
1.891 1.891 1.891 Ag
5.674 5.674 5.674 Pb
```

# 4
VASP calculation (PBE) on a geometry-optimized CoCu2Ni12 structure.

Output
Space-group type   P4/nbm, No. 125
Formation energy from the elements   411 meV/atom

The structure in POSCAR format:
```
CoCu2Ni12
1.0
4.685 0.000 0.000
0.000 4.685 0.000
0.000 0.000 16.586
Co Cu Ni
2 4 24
Cartesian
1.171 3.514 0.000 Co
3.514 1.171 0.000 Co
1.171 3.514 4.543 Cu
1.171 3.514 12.043 Cu
3.514 1.171 4.543 Cu
3.514 1.171 12.043 Cu
0.005 2.348 1.656 Ni
0.005 4.680 14.930 Ni
0.350 2.692 9.350 Ni
0.350 4.335 7.237 Ni
1.171 1.171 3.376 Ni
1.171 1.171 5.620 Ni
1.171 1.171 10.966 Ni
1.171 1.171 13.210 Ni
1.993 2.692 7.237 Ni
1.993 4.335 9.350 Ni
2.338 2.348 14.930 Ni
2.338 4.680 1.656 Ni
2.348 0.005 14.930 Ni
2.348 2.338 1.656 Ni
2.692 0.350 7.237 Ni
2.692 1.993 9.350 Ni
3.514 3.514 3.376 Ni
3.514 3.514 5.620 Ni
3.514 3.514 10.966 Ni
3.514 3.514 13.210 Ni
4.335 0.350 9.350 Ni
4.335 1.993 7.237 Ni
4.680 0.005 1.656 Ni
4.680 2.338 14.930 Ni
```

# 5
VASP calculation (PBE) on a geometry-optimized LiInAs2Se structure.

Output
Energy relative to the elements, uncorrected   0.3109 eV/atom
Space-group type   P4/mmm, No. 123

The structure in POSCAR format:
```
LiInAs2Se
1.0
4.733 0.000 0.000
0.000 4.733 0.000
0.000 0.000 4.824
Li In As Se
1 1 2 1
Cartesian
0.000 0.000 0.000 Li
2.366 2.366 2.412 In
0.000 2.366 0.000 As
2.366 0.000 0.000 As
0.000 0.000 2.412 Se
```

# 6
VASP calculation (PBE) on a geometry-optimized BaInCo2 structure.

Output
Space-group type   F-43m, No. 216
Formation energy from the elements   811 meV/atom

The structure in POSCAR format:
```
BaInCo2
1.0
0.000 3.586 3.586
3.586 0.000 3.586
3.586 3.586 0.000
Ba In Co
1 1 2
Cartesian
0.000 0.000 0.000 Ba
1.793 1.793 1.793 In
3.586 3.586 3.586 Co
5.379 5.379 5.379 Co
```

# 7
VASP calculation (PBE) on a geometry-optimized MgIr2Rh structure.

Output
Space-group type   Cmmm, No. 65
Formation energy from the elements   -183 meV/atom

The structure in POSCAR format:
```
MgIr2Rh
1.0
2.721 -3.928 0.000
2.721 3.928 0.000
0.000 0.000 2.752
Mg Ir Rh
1 2 1
Cartesian
0.000 0.000 0.000 Mg
1.361 1.964 1.376 Ir
1.361 -1.964 1.376 Ir
2.721 0.000 0.000 Rh
```

# 8
VASP calculation (PBE) on a geometry-optimized SiSb2As structure.

Output
Energy relative to the elements, uncorrected   0.5251 eV/atom
Space-group type   F-43m, No. 216

The structure in POSCAR format:
```
SiSb2As
1.0
0.000 3.544 3.544
3.544 0.000 3.544
3.544 3.544 0.000
Si Sb As
1 2 1
Cartesian
0.000 0.000 0.000 Si
1.772 1.772 1.772 Sb
3.544 3.544 3.544 Sb
5.316 5.316 5.316 As
```

# 9
VASP calculation (PBE) on a geometry-optimized KTl4Sb structure.

Output
Energy relative to the elements, uncorrected   -0.1156 eV/atom
Space-group type   Pmma, No. 51

The structure in POSCAR format:
```
KTl4Sb
1.0
10.460 0.000 0.000
0.000 4.476 0.000
0.000 0.000 8.894
K Tl Sb
2 8 2
Cartesian
2.615 0.000 1.271 K
7.845 0.000 7.623 K
0.000 0.000 4.447 Tl
0.398 2.238 7.183 Tl
2.615 2.238 4.237 Tl
4.832 2.238 7.183 Tl
5.230 0.000 4.447 Tl
5.628 2.238 1.711 Tl
7.845 2.238 4.657 Tl
10.062 2.238 1.711 Tl
2.615 0.000 6.682 Sb
7.845 0.000 2.212 Sb
```

# 10
VASP calculation (PBE) on a geometry-optimized SrSi6Pd6 structure.

Output
Energy relative to the elements, uncorrected   -0.6241 eV/atom
Space-group type   Ibam, No. 72

The structure in POSCAR format:
```
SrSi6Pd6
1.0
-4.043 4.190 6.160
4.043 -4.190 6.160
4.043 4.190 -6.160
Sr Si Pd
2 12 12
Cartesian
0.000 0.000 3.080 Sr
0.000 0.000 9.241 Sr
2.725 1.300 -1.453 Si
2.725 -1.300 4.707 Si
0.513 1.981 0.000 Si
4.557 2.209 0.000 Si
2.725 1.300 1.453 Si
2.725 -1.300 7.613 Si
1.318 5.490 -1.453 Si
1.318 2.890 4.707 Si
-0.513 1.981 6.160 Si
3.530 2.209 6.160 Si
1.318 5.490 1.453 Si
1.318 2.890 7.613 Si
6.623 0.266 0.000 Pd
2.917 -1.190 2.224 Pd
5.170 -1.190 3.936 Pd
5.170 1.190 2.224 Pd
2.917 1.190 3.936 Pd
2.579 3.924 0.000 Pd
1.464 0.266 6.160 Pd
1.126 3.000 2.224 Pd
-1.126 3.000 3.936 Pd
-1.126 5.380 2.224 Pd
1.126 5.380 3.936 Pd
-2.579 3.924 6.160 Pd
```

# 11
VASP calculation (PBE) on a geometry-optimized InSi2Pt structure.

Output
Energy relative to the elements, uncorrected   0.2383 eV/atom
Space-group type   Pmmm, No. 47

The structure in POSCAR format:
```
InSi2Pt
1.0
2.963 0.000 0.000
0.000 4.611 0.000
0.000 0.000 5.178
In Si Pt
1 2 1
Cartesian
0.000 0.000 0.000 In
0.000 2.305 2.589 Si
1.482 0.000 2.589 Si
1.482 2.305 0.000 Pt
```

# 12
VASP calculation (PBE) on a geometry-optimized NpFeTcP2 structure.

Output
Space-group type   I-4m2, No. 119
Formation energy from the elements   -630 meV/atom

The structure in POSCAR format:
```
NpFeTcP2
1.0
-1.982 1.982 4.833
1.982 -1.982 4.833
1.982 1.982 -4.833
Np Fe Tc P
1 1 1 2
Cartesian
0.000 0.000 0.000 Np
1.982 0.000 2.416 Fe
0.000 1.982 2.416 Tc
0.000 0.000 3.598 P
0.000 0.000 6.067 P
```

no.,final energy (eV/atom)
1,-4.32
2,-3.31
3,-4.85
4,-5.23
5,-3.18
6,-3.91
7,-6.85
8,-4.05
9,-2.56
10,-5.65
11,-4.67
12,-9.15